The following is a PBE calculation of a relaxed Tb12ZnCu6 crystal, from Alexandria via LeMat-Bulk.

Cell and atoms, written as POSCAR:
```
Tb12ZnCu6
1.0
-4.9251 4.9251 4.9251
4.9251 -4.9251 4.9251
4.9251 4.9251 -4.9251
Tb Zn Cu
12 1 6
Direct
0.1060 0.8116 0.2944 Tb
0.1884 0.2944 0.4828 Tb
0.1884 0.7056 0.8940 Tb
0.2944 0.1060 0.8116 Tb
0.2944 0.4828 0.1884 Tb
0.4828 0.1884 0.2944 Tb
0.5172 0.8116 0.7056 Tb
0.7056 0.5172 0.8116 Tb
0.7056 0.8940 0.1884 Tb
0.8116 0.2944 0.1060 Tb
0.8116 0.7056 0.5172 Tb
0.8940 0.1884 0.7056 Tb
0.0000 0.0000 0.0000 Zn
0.1244 0.6244 0.5000 Cu
0.3756 0.5000 0.8756 Cu
0.5000 0.1244 0.6244 Cu
0.5000 0.8756 0.3756 Cu
0.6244 0.5000 0.1244 Cu
0.8756 0.3756 0.5000 Cu
```

Its symmetry is Im-3, No. 204. The density of states at the Fermi level comes out at 15.2 states/eV per cell. As for the total energy: -4.429 eV per atom.